# CeYSc2 PBE relaxed
# offset from the most stable computed form = 0.000 eV per atom
# ΔH_f (0 K) = 7.1 kJ per mole of atoms
# N(E_F) = 7.99 states/eV per cell
data_CeYSc2
_symmetry_space_group_name_H-M 'P 4/m m m'
_symmetry_Int_Tables_number 123
_symmetry_space_group_name_Hall '-P 4 2'
_cell_length_a 3.470
_cell_length_b 3.470
_cell_length_c 9.138
_cell_angle_alpha 90.00
_cell_angle_beta 90.00
_cell_angle_gamma 90.00
loop_
_atom_site_label
_atom_site_type_symbol
_atom_site_fract_x
_atom_site_fract_y
_atom_site_fract_z
Ce1 Ce 0.000 0.000 0.000
Y1 Y 0.000 0.000 0.500
Sc1 Sc 0.500 0.500 0.240

# CeY4Sc3 PBE relaxed
# ΔH_f (0 K) = 41.9 kJ per mole of atoms
# N(E_F) = 37.05 states/eV per cell
data_CeY4Sc3
_symmetry_space_group_name_H-M 'C m m m'
_symmetry_Int_Tables_number 65
_symmetry_space_group_name_Hall '-C 2 2'
_cell_length_a 11.286
_cell_length_b 12.642
_cell_length_c 3.273
_cell_angle_alpha 90.00
_cell_angle_beta 90.00
_cell_angle_gamma 90.00
loop_
_atom_site_label
_atom_site_type_symbol
_atom_site_fract_x
_atom_site_fract_y
_atom_site_fract_z
Ce1 Ce 0.000 0.000 0.000
Y1 Y 0.000 0.249 0.000
Y2 Y 0.242 0.000 0.500
Sc1 Sc 0.000 0.500 0.000
Sc2 Sc 0.250 0.250 0.500

# CeY12Sc7 PBE relaxed
# ΔH_f (0 K) = 13.0 kJ per mole of atoms
# N(E_F) = 109.41 states/eV per cell
data_CeY12Sc7
_symmetry_space_group_name_H-M 'R -3'
_symmetry_Int_Tables_number 148
_symmetry_space_group_name_Hall '-R 3'
_cell_length_a 14.9301
_cell_length_b 14.9301
_cell_length_c 9.3284
_cell_angle_alpha 90.00
_cell_angle_beta 90.00
_cell_angle_gamma 120.00
loop_
_atom_site_label
_atom_site_type_symbol
_atom_site_fract_x
_atom_site_fract_y
_atom_site_fract_z
Ce1 Ce 0.0000 0.0000 0.0000
Y1 Y 0.0254 0.2525 0.3981
Y2 Y 0.0739 0.5866 0.6297
Sc1 Sc 0.0000 0.0000 0.5000
Sc2 Sc 0.0059 0.1408 0.7256

# CeY3Sc8 PBE relaxed
# ΔH_f (0 K) = 61.2 kJ per mole of atoms
# N(E_F) = 48.22 states/eV per cell
data_CeY3Sc8
_symmetry_space_group_name_H-M 'I -4 2 m'
_symmetry_Int_Tables_number 121
_symmetry_space_group_name_Hall 'I -4 2'
_cell_length_a 8.221
_cell_length_b 8.221
_cell_length_c 10.553
_cell_angle_alpha 90.00
_cell_angle_beta 90.00
_cell_angle_gamma 90.00
loop_
_atom_site_label
_atom_site_type_symbol
_atom_site_fract_x
_atom_site_fract_y
_atom_site_fract_z
Ce1 Ce 0.000 0.000 0.000
Y1 Y 0.000 0.000 0.500
Y2 Y 0.000 0.500 0.250
Sc1 Sc 0.124 0.124 0.232
Sc2 Sc 0.226 0.226 0.963

# CeY4Sc PBE relaxed
# ΔH_f (0 K) = 11.1 kJ per mole of atoms
# N(E_F) = 53.65 states/eV per cell
data_CeY4Sc
_symmetry_space_group_name_H-M 'P n m a'
_symmetry_Int_Tables_number 62
_cell_length_a 13.749
_cell_length_b 5.389
_cell_length_c 10.057
_cell_angle_alpha 90.00
_cell_angle_beta 90.00
_cell_angle_gamma 90.00
loop_
_symmetry_equiv_pos_as_xyz
'x,y,z'
'-x,-y,-z'
'-x+1/2,-y,z+1/2'
'x+1/2,y,-z+1/2'
'x+1/2,-y+1/2,-z+1/2'
'-x+1/2,y+1/2,z+1/2'
'-x,y+1/2,-z'
'x,-y+1/2,z'
loop_
_atom_site_label
_atom_site_type_symbol
_atom_site_fract_x
_atom_site_fract_y
_atom_site_fract_z
Ce1 Ce 0.215 0.250 0.035
Y1 Y 0.036 0.750 0.898
Y2 Y 0.099 0.750 0.245
Y3 Y 0.148 0.250 0.695
Y4 Y 0.222 0.250 0.358
Sc1 Sc 0.020 0.750 0.571

# CeYSc2 PBE relaxed
# offset from the most stable computed form = 0.008 eV per atom
# ΔH_f (0 K) = 7.9 kJ per mole of atoms
# N(E_F) = 7.40 states/eV per cell
data_CeYSc2
_symmetry_space_group_name_H-M 'P 4/m m m'
_symmetry_Int_Tables_number 123
_symmetry_space_group_name_Hall '-P 4 2'
_cell_length_a 4.921
_cell_length_b 4.921
_cell_length_c 4.555
_cell_angle_alpha 90.00
_cell_angle_beta 90.00
_cell_angle_gamma 90.00
loop_
_atom_site_label
_atom_site_type_symbol
_atom_site_fract_x
_atom_site_fract_y
_atom_site_fract_z
Ce1 Ce 0.000 0.000 0.000
Y1 Y 0.500 0.500 0.000
Sc1 Sc 0.000 0.500 0.500

# CeYSc6 PBE relaxed
# ΔH_f (0 K) = 3.6 kJ per mole of atoms
# N(E_F) = 16.03 states/eV per cell
data_CeYSc6
_symmetry_space_group_name_H-M 'P -6 m 2'
_symmetry_Int_Tables_number 187
_symmetry_space_group_name_Hall 'P -6 2'
_cell_length_a 6.7327
_cell_length_b 6.7327
_cell_length_c 5.3364
_cell_angle_alpha 90.00
_cell_angle_beta 90.00
_cell_angle_gamma 120.00
loop_
_atom_site_label
_atom_site_type_symbol
_atom_site_fract_x
_atom_site_fract_y
_atom_site_fract_z
Ce1 Ce 0.0000 0.0000 0.0000
Y1 Y 0.6667 0.3333 0.5000
Sc1 Sc 0.0079 0.5040 0.0000
Sc2 Sc 0.1670 0.3341 0.5000

# CeYSc5 PBE relaxed
# ΔH_f (0 K) = 20.3 kJ per mole of atoms
# N(E_F) = 58.83 states/eV per cell
data_CeYSc5
_symmetry_space_group_name_H-M 'C 1 2/c 1'
_symmetry_Int_Tables_number 15
_cell_length_a 10.599
_cell_length_b 11.810
_cell_length_c 6.456
_cell_angle_alpha 90.00
_cell_angle_beta 108.96
_cell_angle_gamma 90.00
loop_
_symmetry_equiv_pos_as_xyz
'x,y,z'
'-x,-y,-z'
'-x,y,-z+1/2'
'x,-y,z+1/2'
'x+1/2,y+1/2,z'
'-x+1/2,-y+1/2,-z'
'-x+1/2,y+1/2,-z+1/2'
'x+1/2,-y+1/2,z+1/2'
loop_
_atom_site_label
_atom_site_type_symbol
_atom_site_fract_x
_atom_site_fract_y
_atom_site_fract_z
Ce1 Ce 0.250 0.250 0.000
Y1 Y 0.000 0.151 0.250
Sc1 Sc 0.000 0.112 0.750
Sc2 Sc 0.033 0.372 0.534
Sc3 Sc 0.248 0.470 0.359

# CeYSc2 PBE relaxed
# offset from the most stable computed form = 0.022 eV per atom
# ΔH_f (0 K) = 9.2 kJ per mole of atoms
# N(E_F) = 27.13 states/eV per cell
data_CeYSc2
_symmetry_space_group_name_H-M 'F m -3 m'
_symmetry_Int_Tables_number 225
_symmetry_space_group_name_Hall '-F 4 2 3'
_cell_length_a 7.640
_cell_length_b 7.640
_cell_length_c 7.640
_cell_angle_alpha 90.00
_cell_angle_beta 90.00
_cell_angle_gamma 90.00
loop_
_atom_site_label
_atom_site_type_symbol
_atom_site_fract_x
_atom_site_fract_y
_atom_site_fract_z
Ce1 Ce 0.000 0.000 0.000
Y1 Y 0.000 0.000 0.500
Sc1 Sc 0.250 0.250 0.250

# CeYSc2 PBE relaxed
# offset from the most stable computed form = 0.013 eV per atom
# ΔH_f (0 K) = 8.3 kJ per mole of atoms
# N(E_F) = 13.68 states/eV per cell
data_CeYSc2
_symmetry_space_group_name_H-M 'I 4/m m m'
_symmetry_Int_Tables_number 139
_symmetry_space_group_name_Hall '-I 4 2'
_cell_length_a 5.025
_cell_length_b 5.025
_cell_length_c 8.775
_cell_angle_alpha 90.00
_cell_angle_beta 90.00
_cell_angle_gamma 90.00
loop_
_atom_site_label
_atom_site_type_symbol
_atom_site_fract_x
_atom_site_fract_y
_atom_site_fract_z
Ce1 Ce 0.000 0.000 0.000
Y1 Y 0.000 0.000 0.500
Sc1 Sc 0.000 0.500 0.250

# Ce3ScZn4 PBE relaxed
# ΔH_f (0 K) = -22.5 kJ per mole of atoms
# N(E_F) = 13.05 states/eV per cell
data_Ce3ScZn4
_symmetry_space_group_name_H-M 'P 4/m m m'
_symmetry_Int_Tables_number 123
_symmetry_space_group_name_Hall '-P 4 2'
_cell_length_a 3.148
_cell_length_b 3.148
_cell_length_c 17.032
_cell_angle_alpha 90.00
_cell_angle_beta 90.00
_cell_angle_gamma 90.00
loop_
_atom_site_label
_atom_site_type_symbol
_atom_site_fract_x
_atom_site_fract_y
_atom_site_fract_z
Ce1 Ce 0.000 0.000 0.000
Ce2 Ce 0.000 0.000 0.262
Sc1 Sc 0.000 0.000 0.500
Zn1 Zn 0.500 0.500 0.131
Zn2 Zn 0.500 0.500 0.392

# CeScZn4 PBE relaxed
# offset from the most stable computed form = 0.000 eV per atom
# ΔH_f (0 K) = -29.2 kJ per mole of atoms
# N(E_F) = 10.23 states/eV per cell
data_CeScZn4
_symmetry_space_group_name_H-M 'P 6/m m m'
_symmetry_Int_Tables_number 191
_symmetry_space_group_name_Hall '-P 6 2'
_cell_length_a 4.4119
_cell_length_b 4.4119
_cell_length_c 6.9886
_cell_angle_alpha 90.00
_cell_angle_beta 90.00
_cell_angle_gamma 120.00
loop_
_atom_site_label
_atom_site_type_symbol
_atom_site_fract_x
_atom_site_fract_y
_atom_site_fract_z
Ce1 Ce 0.0000 0.0000 0.0000
Sc1 Sc 0.0000 0.0000 0.5000
Zn1 Zn 0.3333 0.6667 0.2856

# CeScZn3 PBE relaxed
# ΔH_f (0 K) = -27.8 kJ per mole of atoms
# N(E_F) = 28.66 states/eV per cell
data_CeScZn3
_symmetry_space_group_name_H-M 'C m c m'
_symmetry_Int_Tables_number 63
_symmetry_space_group_name_Hall '-C 2c 2'
_cell_length_a 3.293
_cell_length_b 26.879
_cell_length_c 4.532
_cell_angle_alpha 90.00
_cell_angle_beta 90.00
_cell_angle_gamma 90.00
loop_
_atom_site_label
_atom_site_type_symbol
_atom_site_fract_x
_atom_site_fract_y
_atom_site_fract_z
Ce1 Ce 0.000 0.076 0.250
Sc1 Sc 0.000 0.214 0.750
Zn1 Zn 0.000 0.320 0.750
Zn2 Zn 0.000 0.374 0.250
Zn3 Zn 0.000 0.475 0.250

# Ce5ScZn6 PBE relaxed
# ΔH_f (0 K) = -20.4 kJ per mole of atoms
# N(E_F) = 42.27 states/eV per cell
data_Ce5ScZn6
_symmetry_space_group_name_H-M 'C m m m'
_symmetry_Int_Tables_number 65
_symmetry_space_group_name_Hall '-C 2 2'
_cell_length_a 4.442
_cell_length_b 13.539
_cell_length_c 8.605
_cell_angle_alpha 90.00
_cell_angle_beta 90.00
_cell_angle_gamma 90.00
loop_
_atom_site_label
_atom_site_type_symbol
_atom_site_fract_x
_atom_site_fract_y
_atom_site_fract_z
Ce1 Ce 0.000 0.000 0.000
Ce2 Ce 0.000 0.315 0.500
Ce3 Ce 0.000 0.325 0.000
Sc1 Sc 0.000 0.000 0.500
Zn1 Zn 0.000 0.150 0.256
Zn2 Zn 0.000 0.500 0.264

# Ce2ScZn4 PBE relaxed
# ΔH_f (0 K) = -7.5 kJ per mole of atoms
# N(E_F) = 26.30 states/eV per cell
data_Ce2ScZn4
_symmetry_space_group_name_H-M 'I 4/m m m'
_symmetry_Int_Tables_number 139
_symmetry_space_group_name_Hall '-I 4 2'
_cell_length_a 4.880
_cell_length_b 4.880
_cell_length_c 13.379
_cell_angle_alpha 90.00
_cell_angle_beta 90.00
_cell_angle_gamma 90.00
loop_
_atom_site_label
_atom_site_type_symbol
_atom_site_fract_x
_atom_site_fract_y
_atom_site_fract_z
Ce1 Ce 0.000 0.000 0.234
Sc1 Sc 0.000 0.000 0.500
Zn1 Zn 0.000 0.500 0.100

# CeScZn10 PBE relaxed
# ΔH_f (0 K) = -21.1 kJ per mole of atoms
# N(E_F) = 8.21 states/eV per cell
data_CeScZn10
_symmetry_space_group_name_H-M 'P m m m'
_symmetry_Int_Tables_number 47
_cell_length_a 4.241
_cell_length_b 5.267
_cell_length_c 9.123
_cell_angle_alpha 90.00
_cell_angle_beta 90.00
_cell_angle_gamma 90.00
loop_
_symmetry_equiv_pos_as_xyz
'x,y,z'
'-x,-y,-z'
'-x,-y,z'
'x,y,-z'
'x,-y,-z'
'-x,y,z'
'-x,y,-z'
'x,-y,z'
loop_
_atom_site_label
_atom_site_type_symbol
_atom_site_fract_x
_atom_site_fract_y
_atom_site_fract_z
Ce1 Ce 0.000 0.000 0.000
Sc1 Sc 0.000 0.500 0.500
Zn1 Zn 0.000 0.000 0.344
Zn2 Zn 0.000 0.500 0.180
Zn3 Zn 0.500 0.000 0.500
Zn4 Zn 0.500 0.249 0.251
Zn5 Zn 0.500 0.500 0.000

# CeSc2Zn PBE relaxed
# offset from the most stable computed form = 0.088 eV per atom
# ΔH_f (0 K) = -4.6 kJ per mole of atoms
# N(E_F) = 16.41 states/eV per cell
data_CeSc2Zn
_symmetry_space_group_name_H-M 'R -3 m'
_symmetry_Int_Tables_number 166
_symmetry_space_group_name_Hall '-R 3 2"'
_cell_length_a 3.2968
_cell_length_b 3.2968
_cell_length_c 29.4211
_cell_angle_alpha 90.00
_cell_angle_beta 90.00
_cell_angle_gamma 120.00
loop_
_atom_site_label
_atom_site_type_symbol
_atom_site_fract_x
_atom_site_fract_y
_atom_site_fract_z
Ce1 Ce 0.0000 0.0000 0.0000
Sc1 Sc 0.0000 0.0000 0.2406
Zn1 Zn 0.0000 0.0000 0.5000

# CeSc2Zn PBE relaxed
# offset from the most stable computed form = 0.109 eV per atom
# ΔH_f (0 K) = -2.7 kJ per mole of atoms
# N(E_F) = 23.72 states/eV per cell
data_CeSc2Zn
_symmetry_space_group_name_H-M 'R 3 m'
_symmetry_Int_Tables_number 160
_symmetry_space_group_name_Hall 'R 3 -2"'
_cell_length_a 3.2884
_cell_length_b 3.2884
_cell_length_c 29.8731
_cell_angle_alpha 90.00
_cell_angle_beta 90.00
_cell_angle_gamma 120.00
loop_
_atom_site_label
_atom_site_type_symbol
_atom_site_fract_x
_atom_site_fract_y
_atom_site_fract_z
Ce1 Ce 0.0000 0.0000 0.0000
Sc1 Sc 0.0000 0.0000 0.2399
Sc2 Sc 0.0000 0.0000 0.4283
Zn1 Zn 0.0000 0.0000 0.8344

# Ce2ScZn9 PBE relaxed
# ΔH_f (0 K) = -21.1 kJ per mole of atoms
# N(E_F) = 36.33 states/eV per cell
data_Ce2ScZn9
_symmetry_space_group_name_H-M 'R -3 m'
_symmetry_Int_Tables_number 166
_symmetry_space_group_name_Hall '-R 3 2"'
_cell_length_a 5.3271
_cell_length_b 5.3271
_cell_length_c 26.3658
_cell_angle_alpha 90.00
_cell_angle_beta 90.00
_cell_angle_gamma 120.00
loop_
_atom_site_label
_atom_site_type_symbol
_atom_site_fract_x
_atom_site_fract_y
_atom_site_fract_z
Ce1 Ce 0.0000 0.0000 0.1471
Sc1 Sc 0.0000 0.0000 0.0000
Zn1 Zn 0.0000 0.0000 0.3350
Zn2 Zn 0.0000 0.0000 0.5000
Zn3 Zn 0.0037 0.5019 0.9203

# CeScZn4 PBE relaxed
# offset from the most stable computed form = 0.007 eV per atom
# ΔH_f (0 K) = -28.5 kJ per mole of atoms
# N(E_F) = 20.85 states/eV per cell
data_CeScZn4
_symmetry_space_group_name_H-M 'F -4 3 m'
_symmetry_Int_Tables_number 216
_symmetry_space_group_name_Hall 'F -4 2 3'
_cell_length_a 7.617
_cell_length_b 7.617
_cell_length_c 7.617
_cell_angle_alpha 90.00
_cell_angle_beta 90.00
_cell_angle_gamma 90.00
loop_
_atom_site_label
_atom_site_type_symbol
_atom_site_fract_x
_atom_site_fract_y
_atom_site_fract_z
Ce1 Ce 0.000 0.000 0.000
Sc1 Sc 0.250 0.250 0.750
Zn1 Zn 0.124 0.124 0.376